[1]
# Hf2VH3 | the Alexandria database | GGA-PBE | optimized geometry
data_Hf2VH3
_cell_length_a 10.270
_cell_length_b 4.908
_cell_length_c 6.016
_cell_angle_alpha 90.00
_cell_angle_beta 122.79
_cell_angle_gamma 90.00
_symmetry_space_group_name_H-M 'C 1 2/c 1'
_symmetry_Int_Tables_number 15
_symmetry_space_group_name_Hall '-C 2yc'
loop_
_atom_site_label
_atom_site_fract_x
_atom_site_fract_y
_atom_site_fract_z
Hf1 0.170 0.023 0.082
V1 0.000 0.499 0.250
H1 0.000 0.132 0.250
H2 0.115 0.425 0.104
# - total magnetic moment (μB per cell) = 0.0
# - E (eV/atom) = -6.72
# - ρ (g cm⁻³) = 10.708

=====

[2]
# Er4Hg5Rh2 | the Alexandria database | GGA-PBE | optimized geometry
data_Er4Hg5Rh2
_cell_length_a 7.684
_cell_length_b 3.566
_cell_length_c 9.442
_cell_angle_alpha 90.00
_cell_angle_beta 94.49
_cell_angle_gamma 90.00
_symmetry_space_group_name_H-M 'P 1 2/m 1'
_symmetry_Int_Tables_number 10
_symmetry_space_group_name_Hall '-P 2y'
loop_
_atom_site_label
_atom_site_fract_x
_atom_site_fract_y
_atom_site_fract_z
Er1 0.180 0.000 0.350
Er2 0.214 0.000 0.938
Hg1 0.169 0.500 0.644
Hg2 0.458 0.500 0.166
Hg3 0.500 0.500 0.500
Rh1 0.080 0.500 0.141
# - total magnetic moment (μB per cell) = 0.0
# - formation energy (meV per atom) = -583
# - ρ (g cm⁻³) = 12.089

=====

[3]
# Be2Hg | the Alexandria database | GGA-PBE | optimized geometry
data_Be2Hg
_cell_length_a 2.916
_cell_length_b 13.592
_cell_length_c 3.984
_cell_angle_alpha 90.00
_cell_angle_beta 90.00
_cell_angle_gamma 90.00
_symmetry_space_group_name_H-M 'C m c m'
_symmetry_Int_Tables_number 63
_symmetry_space_group_name_Hall '-C 2c 2'
loop_
_atom_site_label
_atom_site_fract_x
_atom_site_fract_y
_atom_site_fract_z
Be1 0.000 0.053 0.250
Be2 0.000 0.274 0.750
Hg1 0.000 0.384 0.250
# - E above lowest polymorph (meV per atom) = 242
# - total magnetic moment (μB per cell) = 0.0
# - formation energy (meV per atom) = 506
# - ρ (g cm⁻³) = 9.195

=====

Which value of total magnetic moment does entry 2 give?
0.0 μB per cell